Entry 1:
! TcI3Cl, relaxed, DFT PBE; values from VASP
&SYSTEM
  ibrav = 0, nat = 5, ntyp = 3
/
ATOMIC_SPECIES
Tc 98.00 Tc.upf
I 126.90 I.upf
Cl 35.45 Cl.upf
ATOMIC_POSITIONS angstrom
Tc 0.000 0.000 0.000
I 0.000 2.857 2.857
I 2.857 0.000 2.857
I 2.857 2.857 0.000
Cl 2.857 2.857 2.857
CELL_PARAMETERS angstrom
5.714 0.000 0.000
0.000 5.714 0.000
0.000 0.000 5.714
! Excess energy over the best structure of this formula in the dataset, meV per atom: 1363
! Total magnetic moment, μB/cell: 4.939
! E_form (uncorrected), eV per atom: 1.18
! Energy, eV/atom: -2.190

***

Entry 2:
! TcICl3, relaxed, DFT PBE; values from VASP
&SYSTEM
  ibrav = 0, nat = 5, ntyp = 3
/
ATOMIC_SPECIES
Tc 98.00 Tc.upf
I 126.90 I.upf
Cl 35.45 Cl.upf
ATOMIC_POSITIONS angstrom
Tc 0.000 0.000 0.000
I 2.793 2.793 2.793
Cl 0.000 2.793 2.793
Cl 2.793 0.000 2.793
Cl 2.793 2.793 0.000
CELL_PARAMETERS angstrom
5.586 0.000 0.000
0.000 5.586 0.000
0.000 0.000 5.586
! Excess energy over the best structure of this formula in the dataset, meV per atom: 1466
! Total magnetic moment, μB/cell: 5.888
! E_form (uncorrected), eV per atom: 0.95
! Energy, eV/atom: -2.540

***

Entry 3:
! Tl3TcI2Cl6, relaxed, DFT PBE; values from VASP
&SYSTEM
  ibrav = 0, nat = 12, ntyp = 4
/
ATOMIC_SPECIES
Tl 204.38 Tl.upf
Tc 98.00 Tc.upf
I 126.90 I.upf
Cl 35.45 Cl.upf
ATOMIC_POSITIONS angstrom
Tl 0.000 0.000 0.000
Tl 3.934 2.058 3.144
Tl 3.934 -2.058 3.144
Tc 7.921 0.000 3.144
I 2.909 0.000 5.786
I 12.932 0.000 0.502
Cl 6.890 1.688 4.471
Cl 8.951 1.688 1.817
Cl 6.017 0.000 1.734
Cl 9.824 0.000 4.554
Cl 6.890 -1.688 4.471
Cl 8.951 -1.688 1.817
CELL_PARAMETERS angstrom
7.974 -4.115 0.000
7.974 4.115 0.000
-0.107 0.000 6.288
! Total magnetic moment, μB/cell: 2.031
! E_form (uncorrected), eV per atom: -0.70
! Energy, eV/atom: -3.337

***

Entry 4:
! Tl2TcI2Cl4, relaxed, DFT PBE; values from VASP
&SYSTEM
  ibrav = 0, nat = 9, ntyp = 4
/
ATOMIC_SPECIES
Tl 204.38 Tl.upf
Tc 98.00 Tc.upf
I 126.90 I.upf
Cl 35.45 Cl.upf
ATOMIC_POSITIONS angstrom
Tl 2.421 0.000 1.209
Tl 6.599 0.000 5.051
Tc 6.539 0.000 0.000
I 0.521 0.000 4.321
I 8.500 0.000 1.940
Cl 5.346 1.674 1.187
Cl 3.675 1.674 5.074
Cl 5.346 -1.674 1.187
Cl 3.675 -1.674 5.074
CELL_PARAMETERS angstrom
6.539 -3.645 0.000
6.539 3.645 0.000
-4.057 0.000 6.261
! Total magnetic moment, μB/cell: 2.998
! E_form (uncorrected), eV per atom: -0.71
! Energy, eV/atom: -3.556